Record 1
Crystalline Y2MgFeS at its relaxed geometry, computed with PBE.

Results
For the uncorrected formation energy, the calculation gives -160 meV/atom. As for the final energy: -27.91 eV/f.u. The total magnetization comes out at 2.062 μB/f.u.

a b c (Å): 5.197 4.652 5.197
angles (deg): 90.00 90.00 90.00
Fractional coordinates of all 5 atoms:
Y  0.000  0.000  0.500
Y  0.500  0.000  0.000
S  0.000  0.000  0.000
Mg  0.000  0.500  0.000
Fe  0.500  0.500  0.500


Record 2
Crystalline MgTcNF2 at its relaxed geometry, computed with PBE.

Results
The energy above the lowest structure with this stoichiometry comes out at 51 meV per atom. For the uncorrected formation energy, the calculation gives -814 meV/atom. As for the final energy: -28.10 eV/f.u. The total magnetization comes out at 0.397 μB/f.u.

a b c (Å): 4.229 4.229 3.827
angles (deg): 90.00 90.00 90.00
Fractional coordinates of all 5 atoms:
Mg  0.500  0.500  0.500
N  0.000  0.000  0.500
Tc  0.000  0.000  0.000
F  0.000  0.500  0.000
F  0.500  0.000  0.000


Record 3
Crystalline NdY3Te4 at its relaxed geometry, computed with PBE.

Results
For the uncorrected formation energy, the calculation gives -1336 meV/atom. As for the final energy: -47.41 eV/f.u. The total magnetization comes out at 0.000 μB/f.u.

a b c (Å): 4.330 4.330 29.670
angles (deg): 90.00 90.00 120.00
Fractional coordinates of all 16 atoms:
Y  0.000  0.000  0.000
Y  0.000  0.000  0.500
Y  0.333  0.667  0.878
Y  0.667  0.333  0.122
Y  0.667  0.333  0.378
Y  0.333  0.667  0.622
Te  0.667  0.333  0.939
Te  0.333  0.667  0.061
Te  0.333  0.667  0.439
Te  0.667  0.333  0.561
Te  0.000  0.000  0.817
Te  0.000  0.000  0.183
Te  0.000  0.000  0.317
Te  0.000  0.000  0.683
Nd  0.667  0.333  0.750
Nd  0.333  0.667  0.250


Record 4
Crystalline KP2W at its relaxed geometry, computed with PBE.

Results
The energy above the lowest structure with this stoichiometry comes out at 0 meV per atom. The calculation puts the formation energy at -203.5 meV per atom. As for the final energy: -25.68 eV/f.u. The total magnetization comes out at 0.000 μB/f.u.

a b c (Å): 3.387 3.387 8.342
angles (deg): 78.29 78.29 59.97
Fractional coordinates of all 4 atoms:
K  0.249  0.249  0.252
P  0.021  0.021  0.939
P  0.813  0.813  0.560
W  0.417  0.417  0.749


Record 5
Crystalline Te2Pd2Se at its relaxed geometry, computed with PBE.

Results
The energy above the lowest structure with this stoichiometry comes out at 83 meV per atom. For the uncorrected formation energy, the calculation gives -211 meV/atom. As for the final energy: -21.21 eV/f.u. The total magnetization comes out at 0.000 μB/f.u.

a b c (Å): 5.378 7.802 11.044
angles (deg): 90.00 90.00 90.00
Fractional coordinates of all 20 atoms:
Te  0.750  0.617  0.579
Te  0.250  0.883  0.079
Te  0.250  0.383  0.421
Te  0.750  0.117  0.921
Te  0.750  0.946  0.325
Te  0.250  0.554  0.825
Te  0.250  0.054  0.675
Te  0.750  0.446  0.175
Pd  0.750  0.395  0.768
Pd  0.250  0.105  0.268
Pd  0.250  0.605  0.232
Pd  0.750  0.895  0.732
Pd  0.750  0.789  0.110
Pd  0.250  0.711  0.610
Pd  0.250  0.211  0.890
Pd  0.750  0.289  0.390
Se  0.750  0.168  0.608
Se  0.250  0.332  0.108
Se  0.250  0.832  0.392
Se  0.750  0.668  0.892


Record 6
Crystalline MnV3W at its relaxed geometry, computed with PBE.

Results
The energy above the lowest structure with this stoichiometry comes out at 813 meV per atom. The calculation puts the formation energy at 921.1 meV per atom. As for the final energy: -44.87 eV/f.u. The total magnetization comes out at 0.200 μB/f.u.

a b c (Å): 4.241 4.241 4.241
angles (deg): 90.00 90.00 90.00
Fractional coordinates of all 5 atoms:
Mn  0.000  0.000  0.000
W  0.500  0.500  0.500
V  0.000  0.500  0.000
V  0.000  0.000  0.500
V  0.500  0.000  0.000


Record 7
Crystalline Tl4ZnHg15 at its relaxed geometry, computed with PBE.

Results
The calculation puts the formation energy at 4.7 meV per atom. As for the final energy: -15.17 eV/f.u. The total magnetization comes out at 0.000 μB/f.u.

a b c (Å): 5.374 3.894 26.843
angles (deg): 90.00 79.50 90.00
Fractional coordinates of all 20 atoms:
Tl  0.882  0.000  0.187
Tl  0.954  0.000  0.396
Tl  0.046  0.000  0.604
Tl  0.118  0.000  0.813
Zn  0.000  0.000  0.000
Hg  0.500  0.500  0.000
Hg  0.375  0.500  0.196
Hg  0.452  0.500  0.399
Hg  0.548  0.500  0.601
Hg  0.625  0.500  0.804
Hg  0.448  0.000  0.096
Hg  0.414  0.000  0.295
Hg  0.500  0.000  0.500
Hg  0.586  0.000  0.705
Hg  0.552  0.000  0.904
Hg  0.954  0.500  0.082
Hg  0.903  0.500  0.294
Hg  0.000  0.500  0.500
Hg  0.097  0.500  0.706
Hg  0.046  0.500  0.918


Record 8
Crystalline LaPa2Co at its relaxed geometry, computed with PBE.

Results
The energy above the lowest structure with this stoichiometry comes out at 0 meV per atom. The calculation puts the formation energy at 36.0 meV per atom. As for the final energy: -30.88 eV/f.u. The total magnetization comes out at 0.000 μB/f.u.

a b c (Å): 3.541 3.541 9.393
angles (deg): 79.14 79.14 60.00
Fractional coordinates of all 4 atoms:
La  0.498  0.498  0.506
Pa  0.061  0.061  0.818
Pa  0.272  0.272  0.183
Co  0.669  0.669  0.993


Record 9
Crystalline SrScTeN2 at its relaxed geometry, computed with PBE.

Results
The energy above the lowest structure with this stoichiometry comes out at 1152 meV per atom. For the uncorrected formation energy, the calculation gives 1036 meV/atom. As for the final energy: -22.63 eV/f.u. The total magnetization comes out at 1.293 μB/f.u.

a b c (Å): 4.427 4.427 6.290
angles (deg): 90.00 90.00 90.00
Fractional coordinates of all 5 atoms:
Sc  0.500  0.500  0.500
Sr  0.000  0.000  0.000
Te  0.000  0.000  0.500
N  0.000  0.500  0.000
N  0.500  0.000  0.000


Record 10
Crystalline Ba2CoGeI at its relaxed geometry, computed with PBE.

Results
For the uncorrected formation energy, the calculation gives -631 meV/atom. As for the final energy: -20.27 eV/f.u. The total magnetization comes out at 0.000 μB/f.u.

a b c (Å): 6.093 6.093 4.495
angles (deg): 90.00 90.00 90.00
Fractional coordinates of all 5 atoms:
I  0.500  0.500  0.500
Ge  0.000  0.000  0.500
Co  0.000  0.000  0.000
Ba  0.000  0.500  0.000
Ba  0.500  0.000  0.000


Record 11
Crystalline AcPmDyTm at its relaxed geometry, computed with PBE.

Results
The energy above the lowest structure with this stoichiometry comes out at 47 meV per atom. The calculation puts the formation energy at 112.7 meV per atom. As for the final energy: -17.48 eV/f.u. The total magnetization comes out at 0.000 μB/f.u.

a b c (Å): 5.842 5.842 5.842
angles (deg): 60.00 60.00 60.00
Fractional coordinates of all 4 atoms:
Ac  0.250  0.250  0.250
Tm  0.500  0.500  0.500
Pm  0.750  0.750  0.750
Dy  0.000  0.000  0.000


Record 12
Crystalline Ag4SF2 at its relaxed geometry, computed with PBE.

Results
The energy above the lowest structure with this stoichiometry comes out at 10 meV per atom. For the uncorrected formation energy, the calculation gives -554 meV/atom. As for the final energy: -23.15 eV/f.u. The total magnetization comes out at 0.000 μB/f.u.

a b c (Å): 3.435 7.227 6.508
angles (deg): 125.02 90.00 90.00
Fractional coordinates of all 7 atoms:
S  0.000  0.000  0.929
Ag  0.500  0.689  0.818
Ag  0.000  0.718  0.461
Ag  0.500  0.311  0.039
Ag  0.000  0.282  0.397
F  0.500  0.305  0.664
F  0.500  0.695  0.194


Record 13
Crystalline Al2Cl at its relaxed geometry, computed with PBE.

Results
The energy above the lowest structure with this stoichiometry comes out at 341 meV per atom. For the uncorrected formation energy, the calculation gives -108 meV/atom. As for the final energy: -9.66 eV/f.u. The total magnetization comes out at 0.000 μB/f.u.

a b c (Å): 3.099 3.099 6.731
angles (deg): 90.00 90.00 120.00
Fractional coordinates of all 3 atoms:
Al  0.667  0.333  0.680
Al  0.333  0.667  0.320
Cl  0.000  0.000  0.000


Record 14
Crystalline PmErGe3 at its relaxed geometry, computed with PBE.

Results
The calculation puts the formation energy at -685.6 meV per atom. As for the final energy: -26.59 eV/f.u. The total magnetization comes out at 0.000 μB/f.u.

a b c (Å): 3.993 4.194 13.710
angles (deg): 98.80 90.00 90.00
Fractional coordinates of all 10 atoms:
Pm  0.250  0.074  0.148
Pm  0.750  0.926  0.852
Er  0.250  0.796  0.591
Er  0.750  0.204  0.409
Ge  0.250  0.375  0.751
Ge  0.750  0.625  0.249
Ge  0.250  0.471  0.942
Ge  0.750  0.529  0.058
Ge  0.750  0.312  0.624
Ge  0.250  0.688  0.376


Record 15
Crystalline TiZn2Cu5 at its relaxed geometry, computed with PBE.

Results
The calculation puts the formation energy at -64.2 meV per atom. As for the final energy: -31.44 eV/f.u. The total magnetization comes out at 0.000 μB/f.u.

a b c (Å): 4.258 4.258 6.511
angles (deg): 109.08 109.08 90.00
Fractional coordinates of all 8 atoms:
Ti  0.500  0.500  0.000
Zn  0.247  0.247  0.494
Zn  0.753  0.753  0.506
Cu  0.126  0.626  0.252
Cu  0.626  0.126  0.252
Cu  0.374  0.874  0.748
Cu  0.874  0.374  0.748
Cu  0.000  0.000  0.000


Record 16
Crystalline Sc2TaV at its relaxed geometry, computed with PBE.

Results
The energy above the lowest structure with this stoichiometry comes out at 354 meV per atom. The calculation puts the formation energy at 729.4 meV per atom. As for the final energy: -30.72 eV/f.u. The total magnetization comes out at 1.516 μB/f.u.

a b c (Å): 7.525 7.525 6.028
angles (deg): 51.38 51.38 90.00
Fractional coordinates of all 8 atoms:
Sc  0.600  0.125  0.250
Sc  0.150  0.625  0.250
Sc  0.375  0.400  0.750
Sc  0.875  0.850  0.750
Ta  0.000  0.000  0.000
Ta  0.750  0.250  0.500
V  0.500  0.500  0.000
V  0.250  0.750  0.500


Record 17
Crystalline CaPdW2 at its relaxed geometry, computed with PBE.

Results
The energy above the lowest structure with this stoichiometry comes out at 419 meV per atom. The calculation puts the formation energy at 1163.9 meV per atom. As for the final energy: -28.45 eV/f.u. The total magnetization comes out at 0.000 μB/f.u.

a b c (Å): 4.619 4.619 4.619
angles (deg): 60.00 60.00 60.00
Fractional coordinates of all 4 atoms:
Ca  0.000  0.000  0.000
Pd  0.500  0.500  0.500
W  0.250  0.250  0.250
W  0.750  0.750  0.750


Record 18
Crystalline La12Co5Os at its relaxed geometry, computed with PBE.

Results
The calculation puts the formation energy at -103.2 meV per atom. As for the final energy: -107.75 eV/f.u. The total magnetization comes out at 0.000 μB/f.u.

a b c (Å): 7.119 7.133 13.059
angles (deg): 95.04 100.15 60.07
Fractional coordinates of all 18 atoms:
La  0.799  0.000  0.388
La  0.201  0.000  0.612
La  0.624  0.000  0.884
La  0.376  0.000  0.116
La  0.301  0.661  0.884
La  0.037  0.661  0.116
La  0.963  0.339  0.884
La  0.699  0.339  0.116
La  0.535  0.333  0.612
La  0.868  0.667  0.612
La  0.132  0.333  0.388
La  0.465  0.667  0.388
Co  0.500  0.000  0.500
Co  0.166  0.667  0.500
Co  0.834  0.333  0.500
Co  0.667  0.666  0.000
Co  0.333  0.334  0.000
Os  0.000  0.000  0.000


Record 19
Crystalline AcLa3Ir at its relaxed geometry, computed with PBE.

Results
The energy above the lowest structure with this stoichiometry comes out at 76 meV per atom. The calculation puts the formation energy at -250.9 meV per atom. As for the final energy: -29.01 eV/f.u. The total magnetization comes out at 0.000 μB/f.u.

a b c (Å): 5.161 7.069 10.238
angles (deg): 90.00 90.00 111.52
Fractional coordinates of all 10 atoms:
Ac  0.358  0.715  0.750
Ac  0.642  0.285  0.250
La  0.125  0.252  0.999
La  0.875  0.748  0.001
La  0.125  0.252  0.501
La  0.875  0.748  0.499
La  0.623  0.247  0.750
La  0.377  0.753  0.250
Ir  0.001  0.001  0.750
Ir  0.999  0.999  0.250


Record 20
Crystalline ScPPbS2 at its relaxed geometry, computed with PBE.

Results
The energy above the lowest structure with this stoichiometry comes out at 0 meV per atom. For the uncorrected formation energy, the calculation gives -408 meV/atom. As for the final energy: -25.75 eV/f.u. The total magnetization comes out at 0.000 μB/f.u.

a b c (Å): 4.933 4.933 5.011
angles (deg): 90.00 90.00 90.00
Fractional coordinates of all 5 atoms:
Pb  0.500  0.500  0.500
Sc  0.000  0.000  0.000
S  0.000  0.500  0.000
S  0.500  0.000  0.000
P  0.000  0.000  0.500